1.
SbAs2W | PBE-GGA | relaxed

Unit cell a=3.934 b=3.934 c=5.079 alpha=90.00 beta=90.00 gamma=90.00
Fractional positions:
Sb: 0.000 0.000 0.000
As: 0.000 0.500 0.500
As: 0.500 0.000 0.500
W: 0.500 0.500 0.000

Calculated values
Crystal system = tetragonal
Calculated density = 9.62 g/cm³
Symmetry = No. 123
Uncorrected energy = -5.72 eV/atom

=====

2.
Er3TlAs | PBE-GGA | relaxed

Unit cell a=5.312 b=5.312 c=5.312 alpha=90.00 beta=90.00 gamma=90.00
Fractional positions:
Er: 0.000 0.000 0.500
Er: 0.000 0.500 0.000
Er: 0.500 0.000 0.000
Tl: 0.500 0.500 0.500
As: 0.000 0.000 0.000

Calculated values
Crystal system = cubic
Formation enthalpy at 0 K = -0.48 eV per atom
Calculated density = 8.65 g/cm³
Symmetry = No. 221

=====

3.
CdCuNi3 | PBE-GGA | relaxed

Unit cell a=4.327 b=4.327 c=4.327 alpha=90.00 beta=90.00 gamma=90.00
Fractional positions:
Cd: 0.000 0.000 0.000
Cu: 0.500 0.500 0.500
Ni: 0.000 0.500 0.500
Ni: 0.500 0.000 0.500
Ni: 0.500 0.500 0.000

Calculated values
Crystal system = cubic
Formation enthalpy at 0 K = 0.83 eV per atom
Calculated density = 7.22 g/cm³
Symmetry = No. 221